Computed, not measured: an optimized crystal structure of Zn2RuBr at the PBEsol level of DFT.

Unit cell a=5.2555 b=5.2555 c=5.2555 alpha=145.39 beta=131.18 gamma=61.22
Closest atoms and distances in Å follow each position.
Element x y z (fractional)
Zn1 0.2356 0.2356 0.0000  2 Ru 2.64, 4 Zn 2.69, 2 Br 2.86
Zn2 0.7644 0.7644 0.0000  2 Ru 2.64, 4 Zn 2.69, 2 Br 2.86
Ru1 0.0000 0.5000 0.5000  4 Zn 2.64, 4 Br 2.68
Br1 0.5000 0.0000 0.5000  4 Ru 2.68, 4 Zn 2.86

Computed properties:
E above lowest polymorph: 228 meV/atom
theoretical density: 8.4 g/cm3